No. 1
An optimized crystal structure of Ce6Ge5Te. Source: Alexandria, functional PBE-GGA.

Properties
- Uncorrected formation energy: -9.6 eV per formula unit
- Space group: C2/m (12)
- V: 331.8 Å³/f.u.
- N(E_F): 1.492 states/eV per atom
- Electronic total energy: -5.9510 eV/atom

Cell and atoms, written as extended XYZ:
```
12
Lattice="3.704 -6.412 0.000 3.704 6.412 0.000 -2.473 0.000 6.984" Properties=species:S:1:pos:R:3 pbc="T T T"
Ce -0.043 2.206 5.180
Ce 1.153 0.000 1.768
Ce -0.043 -2.206 5.180
Ce 4.978 2.206 1.804
Ce 3.782 0.000 5.216
Ce 4.978 -2.206 1.804
Ge -1.236 0.000 3.492
Ge 3.704 4.263 0.000
Ge 2.468 2.049 3.492
Ge 2.468 -2.049 3.492
Ge 3.704 -4.263 0.000
Te 3.704 0.000 0.000
```

***

No. 2
An optimized crystal structure of Ce8Ge3Te5. Source: Alexandria, functional PBE-GGA.

Properties
- Uncorrected formation energy: -18.6 eV per formula unit
- Space group: R-3m (166)
- V: 485.1 Å³/f.u.
- N(E_F): 3.178 states/eV per atom
- Electronic total energy: -5.9749 eV/atom

Cell and atoms, written as extended XYZ:
```
16
Lattice="4.399 2.540 7.237 -4.399 2.540 7.237 0.000 -5.079 7.237" Properties=species:S:1:pos:R:3 pbc="T T T"
Ce -2.275 -1.314 12.539
Ce 0.000 0.000 5.255
Ce 0.000 -2.627 9.173
Ce -2.275 1.314 9.173
Ce 2.275 -1.314 12.539
Ce 0.000 2.627 12.539
Ce 0.000 0.000 16.457
Ce 2.275 1.314 9.173
Ge -4.399 0.000 10.856
Ge -2.199 1.270 3.619
Ge 2.199 1.270 3.619
Te 0.000 0.000 0.000
Te -2.199 -1.270 7.237
Te -2.199 1.270 14.475
Te 0.000 2.540 7.237
Te 0.000 0.000 10.856
```